[1]
A geometry-optimized LaTeH2 structure, computed with PBE.

a b c (Å): 6.429 6.429 6.145
angles (deg): 90.00 90.00 143.33
Element x y z (fractional)
La1 0.185 0.815 0.750
La2 0.815 0.185 0.250
Te1 0.467 0.533 0.750
Te2 0.533 0.467 0.250
H1 0.270 0.730 0.076
H2 0.270 0.730 0.424
H3 0.730 0.270 0.576
H4 0.730 0.270 0.924

Summary:
ρ in g/cm3: 5.88
Energy relative to the lowest polymorph listed for this composition in meV per atom: 0.0

[2]
A geometry-optimized La6Te5H structure, computed with PBE.

a b c (Å): 7.770 7.770 7.817
angles (deg): 99.74 99.74 119.70
Element x y z (fractional)
La1 0.077 0.399 0.238
La2 0.239 0.239 0.747
La3 0.399 0.077 0.238
La4 0.601 0.923 0.762
La5 0.761 0.761 0.253
La6 0.923 0.601 0.762
Te1 0.176 0.824 0.500
Te2 0.336 0.664 0.000
Te3 0.500 0.500 0.500
Te4 0.664 0.336 0.000
Te5 0.824 0.176 0.500
H1 0.000 0.000 0.000

Summary:
Final energy in eV/atom: -5.357
ρ in g/cm3: 6.33

[3]
A geometry-optimized LaTe3H structure, computed with PBE.

a b c (Å): 6.223 6.223 6.223
angles (deg): 90.00 90.00 90.00
Element x y z (fractional)
La1 0.000 0.000 0.000
Te1 0.000 0.000 0.500
Te2 0.000 0.500 0.000
Te3 0.500 0.000 0.000
H1 0.500 0.500 0.500

Summary:
ρ in g/cm3: 3.60
Energy relative to the lowest polymorph listed for this composition in meV per atom: 514.6

[4]
A geometry-optimized LaVTe2H structure, computed with PBE.

a b c (Å): 5.295 5.295 4.033
angles (deg): 90.00 90.00 90.00
Element x y z (fractional)
La1 0.000 0.000 0.000
V1 0.500 0.500 0.000
Te1 0.000 0.500 0.500
Te2 0.500 0.000 0.500
H1 0.000 0.000 0.500

Summary:
Final energy in eV/atom: -5.012
ρ in g/cm3: 6.55

[5]
A geometry-optimized LaTh2H structure, computed with PBE.

a b c (Å): 10.054 10.054 10.054
angles (deg): 19.95 19.95 19.95
Element x y z (fractional)
La1 0.000 0.000 0.000
Th1 0.114 0.114 0.114
Th2 0.886 0.886 0.886
H1 0.500 0.500 0.500

Summary:
ρ in g/cm3: 9.69
Energy relative to the lowest polymorph listed for this composition in meV per atom: 0.0

[6]
A geometry-optimized La2ThH structure, computed with PBE.

a b c (Å): 3.682 3.682 9.224
angles (deg): 101.43 101.43 60.02
Element x y z (fractional)
La1 0.000 0.000 0.000
La2 0.217 0.217 0.653
Th1 0.441 0.441 0.326
H1 0.606 0.606 0.824

Summary:
ρ in g/cm3: 8.05
Energy relative to the lowest polymorph listed for this composition in meV per atom: 25.2

[7]
A geometry-optimized La2ThH structure, computed with PBE.

a b c (Å): 3.428 3.428 8.652
angles (deg): 90.00 90.00 90.00
Element x y z (fractional)
La1 0.000 0.000 0.193
La2 0.000 0.000 0.807
Th1 0.500 0.500 0.500
H1 0.500 0.500 0.000

Summary:
ρ in g/cm3: 8.34
Energy relative to the lowest polymorph listed for this composition in meV per atom: 198.8

[8]
A geometry-optimized La2ThH4 structure, computed with PBE.

a b c (Å): 7.419 7.419 7.419
angles (deg): 146.53 146.53 48.06
Element x y z (fractional)
La1 0.160 0.160 0.000
La2 0.840 0.840 0.000
Th1 0.500 0.500 0.000
H1 0.000 0.500 0.500
H2 0.331 0.331 0.000
H3 0.500 0.000 0.500
H4 0.669 0.669 0.000

Summary:
Final energy in eV/atom: -4.591
ρ in g/cm3: 6.90